# Y3Zr3CuTe2 PBE relaxed
# Final energy   -60.512 eV for the cell shown
data_Y3Zr3CuTe2
_chemical_formula_sum 'Y3 Zr3 Cu1 Te2'
_cell_length_a 7.935
_cell_length_b 7.935
_cell_length_c 4.028
_cell_angle_alpha 90.00
_cell_angle_beta 90.00
_cell_angle_gamma 120.00
_symmetry_space_group_name_H-M 'P 1'
_symmetry_Int_Tables_number 1
_symmetry_space_group_name_Hall 'P 1'
loop_
_atom_site_label
_atom_site_fract_x
_atom_site_fract_y
_atom_site_fract_z
Cu1 0.000 0.000 0.000
Zr1 0.770 0.770 0.500
Zr2 0.230 0.000 0.500
Y1 0.399 0.399 0.000
Zr3 0.000 0.230 0.500
Te1 0.333 0.667 0.500
Y2 0.601 0.000 0.000
Te2 0.667 0.333 0.500
Y3 0.000 0.601 0.000

=====

# Zn2SO PBE relaxed
# Final energy   -31.010 eV for the cell shown
data_Zn2SO
_chemical_formula_sum 'Zn4 S2 O2'
_cell_length_a 6.464
_cell_length_b 6.464
_cell_length_c 5.613
_cell_angle_alpha 90.00
_cell_angle_beta 90.00
_cell_angle_gamma 30.57
_symmetry_space_group_name_H-M 'P 1'
_symmetry_Int_Tables_number 1
_symmetry_space_group_name_Hall 'P 1'
loop_
_atom_site_label
_atom_site_fract_x
_atom_site_fract_y
_atom_site_fract_z
Zn1 0.339 0.339 0.942
S1 0.679 0.679 0.028
Zn2 0.067 0.067 0.889
O1 0.924 0.924 0.034
Zn3 0.661 0.661 0.442
O2 0.076 0.076 0.534
Zn4 0.933 0.933 0.389
S2 0.321 0.321 0.528

=====

# NaPrSnSe3 PBE relaxed
# Final energy   -52.786 eV for the cell shown
data_NaPrSnSe3
_chemical_formula_sum 'Na2 Pr2 Sn2 Se6'
_cell_length_a 7.286
_cell_length_b 7.286
_cell_length_c 11.587
_cell_angle_alpha 90.00
_cell_angle_beta 90.00
_cell_angle_gamma 142.94
_symmetry_space_group_name_H-M 'P 1'
_symmetry_Int_Tables_number 1
_symmetry_space_group_name_Hall 'P 1'
loop_
_atom_site_label
_atom_site_fract_x
_atom_site_fract_y
_atom_site_fract_z
Se1 0.599 0.401 0.250
Se2 0.862 0.138 0.446
Sn1 0.018 0.982 0.750
Na1 0.249 0.751 0.250
Se3 0.401 0.599 0.750
Pr1 0.500 0.500 0.000
Pr2 0.500 0.500 0.500
Se4 0.138 0.862 0.946
Sn2 0.982 0.018 0.250
Na2 0.751 0.249 0.750
Se5 0.138 0.862 0.554
Se6 0.862 0.138 0.054

=====

# HoTlNO PBE relaxed
# Final energy   -49.447 eV for the cell shown
data_HoTlNO
_chemical_formula_sum 'Ho2 Tl2 N2 O2'
_cell_length_a 3.812
_cell_length_b 6.035
_cell_length_c 6.643
_cell_angle_alpha 90.00
_cell_angle_beta 90.00
_cell_angle_gamma 90.00
_symmetry_space_group_name_H-M 'P 1'
_symmetry_Int_Tables_number 1
_symmetry_space_group_name_Hall 'P 1'
loop_
_atom_site_label
_atom_site_fract_x
_atom_site_fract_y
_atom_site_fract_z
O1 0.500 0.852 0.876
Ho1 0.500 0.499 0.831
Tl1 0.000 0.005 0.661
N1 0.000 0.397 0.676
N2 0.000 0.897 0.324
Ho2 0.500 0.999 0.169
Tl2 0.000 0.505 0.339
O2 0.500 0.352 0.124